PBE with a Hubbard U Ti3FeF, optimized geometry; total DFT energy (no corrections) = -5.506 eV/atom; space group = No. 221; volume = 90 Å³/cell; M_tot = 0.00 μB per formula unit
1.0
4.4882 0.0000 0.0000
0.0000 4.4882 0.0000
0.0000 0.0000 4.4882
Ti Fe F
3 1 1
direct
0.0000 0.0000 0.5000 Ti
0.0000 0.5000 0.0000 Ti
0.5000 0.0000 0.0000 Ti
0.0000 0.0000 0.0000 Fe
0.5000 0.5000 0.5000 F